No. 1
DFT (PBE) results for Tb6Te3AsRh2 after structural relaxation.

```
Tb6Te3AsRh2
1.0
3.6180 -6.2727 0.0000
3.6180 6.2727 0.0000
-2.4446 0.0000 7.1964
Tb Te As Rh
6 3 1 2
direct
0.0868 0.4305 0.7873 Tb
0.2279 0.2279 0.2113 Tb
0.4305 0.0868 0.7873 Tb
0.5695 0.9132 0.2127 Tb
0.7721 0.7721 0.7887 Tb
0.9132 0.5695 0.2127 Tb
0.0000 0.0000 0.5000 Te
0.3370 0.6630 0.5000 Te
0.6630 0.3370 0.5000 Te
0.5000 0.5000 0.0000 As
0.1672 0.8328 0.0000 Rh
0.8328 0.1672 0.0000 Rh
```

Summary:
Size of the total moment, μB/cell: 0.000
Total DFT energy (no corrections), Ry/atom: -0.432
SG: C2/m, No. 12



No. 2
DFT (PBE) results for NaPdO2 after structural relaxation.

```
NaPdO2
1.0
2.9828 -1.5442 0.0000
2.9828 1.5442 0.0000
-2.3016 0.0000 5.2694
Na Pd O
1 1 2
direct
0.0000 0.0000 0.0000 Na
0.5000 0.5000 0.5000 Pd
0.2155 0.2155 0.7113 O
0.7845 0.7845 0.2887 O
```

Summary:
Size of the total moment, μB/cell: 0.987
Total DFT energy (no corrections), Ry/atom: -0.362
SG: C2/m, No. 12



No. 3
DFT (PBE) results for MgNiSnSe after structural relaxation.

```
MgNiSnSe
1.0
3.5517 0.0000 0.0000
0.0000 3.6325 0.0000
-1.7944 0.0000 6.4558
Mg Ni Sn Se
1 1 1 1
direct
0.0000 0.0000 0.0000 Mg
0.3289 0.0000 0.6557 Ni
0.7819 0.5000 0.5630 Sn
0.5646 0.5000 0.1284 Se
```

Summary:
Size of the total moment, μB/cell: 0.000
Energy above the most stable polymorph in this dataset, eV per atom: 0.099
SG: Pm, No. 6



No. 4
DFT (PBE) results for K5Ga2Au5 after structural relaxation.

```
K5Ga2Au5
1.0
8.3170 -2.1657 0.0000
8.3170 2.1657 0.0000
-6.7050 0.0000 10.6227
K Ga Au
5 2 5
direct
0.0000 0.0000 0.0000 K
0.3137 0.3137 0.4104 K
0.3652 0.3652 0.1673 K
0.6348 0.6348 0.8327 K
0.6863 0.6863 0.5896 K
0.3927 0.3927 0.7288 Ga
0.6073 0.6073 0.2712 Ga
0.0000 0.0000 0.5000 Au
0.0597 0.0597 0.3310 Au
0.3089 0.3089 0.8510 Au
0.6911 0.6911 0.1490 Au
0.9403 0.9403 0.6690 Au
```

Summary:
Size of the total moment, μB/cell: 0.000
Calculated formation energy, eV/atom: -0.257
SG: C2/m, No. 12



No. 5
DFT (PBE) results for AcGdSb after structural relaxation.

```
AcGdSb
1.0
5.2635 0.0000 0.0000
-2.6317 4.5583 0.0000
0.0000 0.0000 4.3764
Ac Gd Sb
1 1 1
direct
0.0000 0.0000 0.0000 Ac
0.6667 0.3333 0.5002 Gd
0.3333 0.6667 0.4988 Sb
```

Summary:
Size of the total moment, μB/cell: 7.798
Energy above the most stable polymorph in this dataset, eV per atom: 0.149
SG: P3m1, No. 156



No. 6
DFT (PBE) results for La3Al2ZnGa6 after structural relaxation.

```
La3Al2ZnGa6
1.0
6.1675 0.0000 0.0000
-3.0838 5.3412 0.0000
0.0000 0.0000 8.3905
La Al Zn Ga
3 2 1 6
direct
0.0000 0.0000 0.0000 La
0.3333 0.6667 0.6320 La
0.6667 0.3333 0.3680 La
0.3333 0.6667 0.0204 Al
0.6667 0.3333 0.9796 Al
0.0000 0.0000 0.5000 Zn
0.1847 0.3695 0.2900 Ga
0.1847 0.8153 0.2900 Ga
0.3695 0.1847 0.7100 Ga
0.6305 0.8153 0.2900 Ga
0.8153 0.1847 0.7100 Ga
0.8153 0.6305 0.7100 Ga
```

Summary:
Size of the total moment, μB/cell: 0.000
Calculated formation energy, eV/atom: -0.295
SG: P-3m1, No. 164



No. 7
DFT (PBE) results for GeRu3Au after structural relaxation.

```
GeRu3Au
1.0
4.5274 0.0000 0.0000
0.0000 4.5274 0.0000
0.0000 0.0000 4.5274
Ge Ru Au
1 3 1
direct
0.0000 0.0000 0.0000 Ge
0.0000 0.0000 0.5000 Ru
0.0000 0.5000 0.0000 Ru
0.5000 0.0000 0.0000 Ru
0.5000 0.5000 0.5000 Au
```

Summary:
Size of the total moment, μB/cell: 3.354
Energy above the most stable polymorph in this dataset, eV per atom: 0.000
Calculated formation energy, eV/atom: 1.162
SG: Pm-3m, No. 221



No. 8
DFT (PBE) results for TeIr2Cl after structural relaxation.

```
TeIr2Cl
1.0
3.8849 -1.7916 0.0000
3.8849 1.7916 0.0000
-1.5133 0.0000 5.4159
Te Ir Cl
1 2 1
direct
0.0000 0.0000 0.0000 Te
0.2621 0.2621 0.7787 Ir
0.7379 0.7379 0.2213 Ir
0.5000 0.5000 0.5000 Cl
```

Summary:
Size of the total moment, μB/cell: 0.000
Energy above the most stable polymorph in this dataset, eV per atom: 0.543
SG: C2/m, No. 12